Computed, not measured: crystalline InTeAs2 at its relaxed geometry at the GGA-PBE level of DFT.

Cell: 3.6003 5.3152 4.9137 Å, 90.00 90.00 90.00°
With the nearest neighbours (Å) after each atom.
Atoms (fractional coordinates):
As: 0.5000 0.5000 0.0000  4 Te 3.05, 4 As 3.21
As: 0.0000 0.0000 0.0000  4 In 3.05, 4 As 3.21
Te: 0.0000 0.5000 0.5000  4 As 3.05, 4 In 3.21
In: 0.5000 0.0000 0.5000  4 As 3.05, 4 Te 3.21

Formation energy without anion corrections: 305 meV per atom
ΔE to the lowest computed polymorph: 7.72 kcal/mol of atoms

Computed, not measured: crystalline NaHg6Pd3 at its relaxed geometry at the GGA-PBE level of DFT.

Cell: 7.0133 5.9659 7.4977 Å, 75.75 125.68 117.75°
With the nearest neighbours (Å) after each atom.
Atoms (fractional coordinates):
Hg: 0.7684 0.5310 0.6232  3 Pd 2.77-2.79, 2 Hg 3.03
Pd: 0.2385 0.2585 0.3508  7 Hg 2.78-3.03, 2 Pd 2.82-2.91
Na: 0.8817 0.0041 0.8485  3 Pd 3.02-3.32, 3 Hg 3.19-3.35
Hg: 0.5225 0.2631 0.1986  3 Pd 2.76-2.86, 2 Hg 3.03-3.08
Hg: 0.3246 0.4526 0.7188  3 Pd 2.83-2.92, 4 Hg 2.97-3.13
Hg: 0.3026 0.9413 0.7082  3 Pd 2.78-2.84, 2 Hg 2.97-3.00
Pd: 0.7745 0.3307 0.0005  6 Hg 2.76-2.92, 2 Pd 2.88-2.91, 1 Na 3.02
Pd: 0.2390 0.5722 0.0020  6 Hg 2.77-2.86, 2 Pd 2.82-2.88
Hg: 0.1908 0.7480 0.2894  4 Pd 2.81-3.03, 3 Hg 3.08-3.14
Hg: 0.7574 0.8987 0.2600  3 Pd 2.78-2.82, 2 Hg 3.03-3.10

ΔH_f (0 K): -121.8 meV/atom